# ZnReAg3

A geometry-optimized ZnReAg3 structure (PBE, Alexandria).

The structure in POSCAR format:
```
ZnReAg3
1.0
5.148 0.000 0.000
0.000 5.148 0.000
0.000 0.000 5.148
Re Zn Ag
1 1 3
Cartesian
0.000 0.000 0.000 Re
2.574 2.574 2.574 Zn
0.000 2.574 0.000 Ag
0.000 0.000 2.574 Ag
2.574 0.000 0.000 Ag
```

* DOS at the Fermi energy: 4.31 states/eV per cell
* total magnetic moment: 0.520 μB/atom
* final energy: -13.99 eV/cell
* theoretical density: 7.00 Mg/m³
* V: 136.4 Å³ per cell
* symmetry: Pm-3m (221)